Entry from Alexandria: a relaxed structure of PrHo2Ag2 (PBE).

## Properties
SG: Cmmm
Energy relative to the elements: -107 meV per atom
Volume: 27.58 Å³ per atom
E above lowest polymorph: 0.041 eV/atom

abc: 3.617 21.235 3.592
angles: 90.00 90.00 90.00
Fractional positions:
Pr (0.000, 0.000, 0.000)
Pr (0.500, 0.500, 0.000)
Ho (0.000, 0.179, 0.000)
Ho (0.000, 0.821, 0.000)
Ho (0.500, 0.321, 0.000)
Ho (0.500, 0.679, 0.000)
Ag (0.000, 0.401, 0.500)
Ag (0.000, 0.599, 0.500)
Ag (0.500, 0.099, 0.500)
Ag (0.500, 0.901, 0.500)